Record 1
Nd5Y2Sc: optimized geometry, PBE.

## Properties
E_form (meV per atom): 31
Space-group type: No. 65

```
Nd5Y2Sc
1.0
-0.9511 2.0714 2.8107
-9.6170 -2.6784 -1.2803
5.7788 -4.2822 5.1119
Nd Y Sc
5 2 1
direct
0.0000 0.5000 0.0000
0.4995 0.3642 0.2446
0.5005 0.6358 0.7554
0.4995 0.8804 0.2446
0.5005 0.1196 0.7554
0.9996 0.7492 0.4984
0.0004 0.2508 0.5016
0.0000 0.0000 0.0000
```

***

Record 2
Nd3Y4Sc2: optimized geometry, PBE.

## Properties
E_form (meV per atom): 19
Space-group type: No. 12
Energy above the lowest structure with this stoichiometry (eV per atom): 0.000

```
Nd3Y4Sc2
1.0
-1.5512 -1.0766 3.0450
9.2068 -3.0350 5.7250
-5.5171 7.3549 1.8979
Nd Y Sc
3 4 2
direct
0.6552 0.5156 0.1741
0.0000 0.5000 0.5000
0.3448 0.4844 0.8259
0.5883 0.8327 0.9907
0.7437 0.1610 0.3517
0.2563 0.8390 0.6483
0.4117 0.1673 0.0093
0.9121 0.8474 0.3283
0.0879 0.1526 0.6717
```

***

Record 3
Nd2Y15Sc2: optimized geometry, PBE.

## Properties
E_form (meV per atom): 290
Space-group type: No. 166

```
Nd2Y15Sc2
1.0
6.6765 -5.6179 -0.2193
6.6765 5.6179 -0.2193
2.2337 0.0000 8.4377
Nd Y Sc
2 15 2
direct
0.6773 0.6773 0.6773
0.3227 0.3227 0.3227
0.5000 0.0000 0.0000
0.0000 0.0000 0.5000
0.0000 0.5000 0.0000
0.0000 0.2930 0.7070
0.2930 0.7070 0.0000
0.7070 0.0000 0.2930
0.7070 0.2930 0.0000
0.2930 0.0000 0.7070
0.0000 0.7070 0.2930
0.8540 0.3658 0.3658
0.3658 0.3658 0.8540
0.3658 0.8540 0.3658
0.1460 0.6342 0.6342
0.6342 0.6342 0.1460
0.6342 0.1460 0.6342
0.9092 0.9092 0.9092
0.0908 0.0908 0.0908
```

***

Record 4
Nd8Y3Sc2: optimized geometry, PBE.

## Properties
E_form (meV per atom): 211
Space-group type: No. 12

```
Nd8Y3Sc2
1.0
5.6625 0.0000 0.8023
0.0000 7.8033 0.0000
-1.3952 -3.9017 9.8271
Nd Y Sc
8 3 2
direct
0.0005 0.6792 0.3583
0.9995 0.3208 0.6417
0.9998 0.1334 0.2668
0.0002 0.8666 0.7332
0.4999 0.5932 0.7780
0.4999 0.1848 0.7780
0.5001 0.8152 0.2220
0.5001 0.4068 0.2220
0.5000 0.0000 0.0000
0.0000 0.2873 0.0000
0.0000 0.7127 0.0000
0.4995 0.2395 0.4790
0.5005 0.7605 0.5210
```

***

Record 5
Nd3Y2Sc2: optimized geometry, PBE.

## Properties
E_form (meV per atom): 125
Space-group type: No. 12
Energy above the lowest structure with this stoichiometry (eV per atom): 0.076

```
Nd3Y2Sc2
1.0
3.4611 0.0000 0.0000
0.0000 8.3585 -0.6562
-1.7305 -3.4819 7.8787
Nd Y Sc
3 2 2
direct
0.0000 0.5000 0.0000
0.2129 0.8012 0.4258
0.7871 0.1988 0.5742
0.8621 0.6900 0.7243
0.1379 0.3100 0.2757
0.5637 0.9102 0.1274
0.4363 0.0898 0.8726
```

***

Record 6
Nd4Y3Sc2: optimized geometry, PBE.

## Properties
E_form (meV per atom): 94
Space-group type: No. 12
Energy above the lowest structure with this stoichiometry (eV per atom): 0.038

```
Nd4Y3Sc2
1.0
3.6025 0.0000 0.0000
-1.8013 6.2374 1.3334
0.0000 3.7638 13.7997
Nd Y Sc
4 3 2
direct
0.6537 0.3074 0.1281
0.1052 0.2103 0.6163
0.8948 0.7897 0.3837
0.3463 0.6926 0.8719
0.3757 0.7514 0.6133
0.0000 0.0000 0.0000
0.6243 0.2486 0.3867
0.3399 0.6798 0.2078
0.6601 0.3202 0.7922
```

***

Record 7
Nd7YSc4: optimized geometry, PBE.

## Properties
E_form (meV per atom): 39
Space-group type: No. 2

```
Nd7YSc4
1.0
-3.7916 -4.6498 -3.8508
3.5437 -4.6169 2.0722
-7.9066 -7.3076 3.3993
Nd Y Sc
7 1 4
direct
0.7312 0.5030 0.0106
0.2688 0.4970 0.9894
0.0845 0.2887 0.6593
0.9155 0.7113 0.3407
0.3356 0.7755 0.6636
0.5000 0.0000 0.0000
0.6644 0.2245 0.3364
0.0000 0.0000 0.0000
0.4032 0.7293 0.3370
0.5968 0.2707 0.6630
0.8426 0.7875 0.6585
0.1574 0.2125 0.3415
```

***

Record 8
NdY2Sc2: optimized geometry, PBE.

## Properties
E_form (meV per atom): 530
Space-group type: No. 70
Energy above the lowest structure with this stoichiometry (eV per atom): 0.404

```
NdY2Sc2
1.0
6.2288 -0.6691 0.0000
-3.0741 5.4585 0.0000
-1.5773 -2.3947 10.6059
Nd Y Sc
2 4 4
direct
0.7500 0.2500 0.5000
0.5000 0.5000 0.0000
0.4151 0.5849 0.5000
0.1651 0.8349 0.0000
0.0849 0.9151 0.5000
0.8349 0.1651 0.0000
0.1250 0.3750 0.7500
0.6250 0.3750 0.2500
0.6250 0.3750 0.7500
0.6250 0.8750 0.2500
```

***

Record 9
Nd15Y4Sc: optimized geometry, PBE.

## Properties
E_form (meV per atom): 15
Space-group type: No. 123

```
Nd15Y4Sc
1.0
-5.0826 -0.2139 -0.8003
-0.4176 -3.6353 3.6235
-3.5645 18.1395 17.7874
Nd Y Sc
15 4 1
direct
0.5000 0.5000 0.0000
0.5000 0.5000 0.1974
0.5000 0.5000 0.3992
0.5000 0.5000 0.6008
0.5000 0.5000 0.8026
0.5000 0.0000 0.0966
0.5000 0.0000 0.2983
0.5000 0.0000 0.5000
0.5000 0.0000 0.7017
0.5000 0.0000 0.9034
0.0000 0.5000 0.0966
0.0000 0.5000 0.2983
0.0000 0.5000 0.5000
0.0000 0.5000 0.7017
0.0000 0.5000 0.9034
0.0000 0.0000 0.1976
0.0000 0.0000 0.3992
0.0000 0.0000 0.6008
0.0000 0.0000 0.8024
0.0000 0.0000 0.0000
```

***

Record 10
Nd6Y3Sc: optimized geometry, PBE.

## Properties
E_form (meV per atom): 70
Space-group type: No. 11
Energy above the lowest structure with this stoichiometry (eV per atom): 0.000

```
Nd6Y3Sc
1.0
-3.5492 0.4203 0.0349
0.4012 4.7380 -16.2735
-1.5901 -14.2172 9.5249
Nd Y Sc
12 6 2
direct
0.7500 0.5444 0.6335
0.2500 0.4556 0.3665
0.7500 0.9514 0.1307
0.2500 0.0486 0.8693
0.7500 0.3437 0.1001
0.2500 0.6563 0.8999
0.7500 0.7638 0.1586
0.2500 0.2362 0.8414
0.7500 0.1390 0.5950
0.2500 0.8610 0.4050
0.7500 0.7604 0.6412
0.2500 0.2396 0.3588
0.7500 0.4497 0.8746
0.2500 0.5503 0.1254
0.7500 0.6552 0.3700
0.2500 0.3448 0.6300
0.7500 0.1510 0.1192
0.2500 0.8490 0.8808
0.7500 0.9667 0.6434
0.2500 0.0333 0.3566
```

***

Record 11
NdY4Sc5: optimized geometry, PBE.

## Properties
E_form (meV per atom): 240
Space-group type: No. 107

```
NdY4Sc5
1.0
-1.5259 -4.7758 2.7146
4.7918 -1.6236 5.8244
-4.8687 1.4525 5.8057
Nd Y Sc
1 4 5
direct
0.2075 0.0000 0.0000
0.4698 0.3216 0.6784
0.7915 0.6784 0.6784
0.1482 0.3216 0.3216
0.4698 0.6784 0.3216
0.7458 0.3782 0.0000
0.1240 0.0000 0.6218
0.7458 0.0000 0.3782
0.1240 0.6218 0.0000
0.6838 0.0000 0.0000
```

***

Record 12
Nd2Y5Sc2: optimized geometry, PBE.

## Properties
E_form (meV per atom): 45
Space-group type: No. 2
Energy above the lowest structure with this stoichiometry (eV per atom): 0.000

```
Nd2Y5Sc2
1.0
5.9932 -0.6079 0.9907
-4.3354 7.9509 -6.4981
1.3373 -3.0879 8.7002
Nd Y Sc
2 5 2
direct
0.3269 0.6633 0.6627
0.6731 0.3367 0.3373
0.4425 0.8850 0.2226
0.5575 0.1150 0.7774
0.1124 0.2252 0.5629
0.8876 0.7748 0.4371
0.0000 0.0000 0.0000
0.2291 0.4465 0.1071
0.7709 0.5535 0.8929
```

***

Record 13
Nd3Y5Sc2: optimized geometry, PBE.

## Properties
E_form (meV per atom): 44
Space-group type: No. 2

```
Nd3Y5Sc2
1.0
8.8188 -1.9040 -2.4719
-3.1937 8.4021 -2.6267
-0.2245 -0.1181 9.3818
Nd Y Sc
6 10 4
direct
0.2269 0.0741 0.0484
0.7731 0.9259 0.9516
0.5804 0.5282 0.3499
0.4196 0.4718 0.6501
0.1777 0.7291 0.1502
0.8223 0.2709 0.8498
0.2720 0.4251 0.9466
0.7280 0.5749 0.0534
0.0264 0.6780 0.4520
0.5227 0.1753 0.4480
0.9736 0.3220 0.5480
0.4773 0.8247 0.5520
0.8807 0.6290 0.7494
0.1193 0.3710 0.2506
0.3682 0.1181 0.7497
0.6318 0.8819 0.2503
0.9270 0.9760 0.6446
0.0730 0.0240 0.3554
0.3283 0.7780 0.8518
0.6717 0.2220 0.1482
```

***

Record 14
NdY5Sc2: optimized geometry, PBE.

## Properties
E_form (meV per atom): 38
Space-group type: No. 55
Energy above the lowest structure with this stoichiometry (eV per atom): 0.000

```
NdY5Sc2
1.0
7.0866 0.0000 0.0000
0.0000 12.1828 0.0000
0.0000 0.0000 11.3392
Nd Y Sc
4 20 8
direct
0.5000 0.4210 0.7546
0.5000 0.5790 0.2454
0.5000 0.0790 0.2546
0.5000 0.9210 0.7454
0.7550 0.1675 0.7490
0.7550 0.8325 0.2510
0.2450 0.3325 0.2490
0.2450 0.6675 0.7510
0.2450 0.8325 0.2510
0.2450 0.1675 0.7490
0.7550 0.6675 0.7510
0.7550 0.3325 0.2490
0.5000 0.2540 0.0000
0.5000 0.7460 0.0000
0.5000 0.2460 0.5000
0.5000 0.7540 0.5000
0.0000 0.2550 0.9990
0.0000 0.7450 0.0010
0.0000 0.2450 0.4990
0.0000 0.7550 0.5010
0.7544 0.0000 0.0000
0.2456 0.5000 0.5000
0.2456 0.0000 0.0000
0.7544 0.5000 0.5000
0.0000 0.9177 0.7454
0.0000 0.0823 0.2546
0.0000 0.5823 0.2454
0.0000 0.4177 0.7546
0.7582 0.0000 0.5000
0.2418 0.5000 0.0000
0.2418 0.0000 0.5000
0.7582 0.5000 0.0000
```

***

Record 15
NdYScZn: optimized geometry, PBE.

## Properties
E_form (meV per atom): -157
Space-group type: No. 99
Energy above the lowest structure with this stoichiometry (eV per atom): 0.000

```
NdYScZn
1.0
3.4959 0.0000 0.0000
0.0000 3.4959 0.0000
0.0000 0.0000 8.6013
Nd Y Sc Zn
1 1 1 1
direct
0.0000 0.0000 0.0884
0.5000 0.5000 0.7722
0.5000 0.5000 0.3752
0.0000 0.0000 0.5490
```

***

Record 16
NdYScZn: optimized geometry, PBE.

## Properties
E_form (meV per atom): -12
Space-group type: No. 216
Energy above the lowest structure with this stoichiometry (eV per atom): 0.146

```
NdYScZn
1.0
-4.6883 -1.1596 2.1588
-0.3943 -0.7519 5.2216
-2.4841 3.5740 3.0068
Y Sc Zn Nd
1 1 1 1
direct
0.7500 0.7500 0.7500
0.5000 0.5000 0.5000
0.0000 0.0000 0.0000
0.2500 0.2500 0.2500
```

***

Record 17
Nd5ScZn4: optimized geometry, PBE.

## Properties
E_form (meV per atom): -227
Space-group type: No. 123

```
Nd5ScZn4
1.0
-2.3622 -2.6797 -0.8735
1.3122 -2.0543 2.7535
-13.0720 7.6357 11.9265
Nd Sc Zn
5 1 4
direct
0.5000 0.5000 0.1180
0.5000 0.5000 0.3089
0.5000 0.5000 0.5000
0.5000 0.5000 0.6911
0.5000 0.5000 0.8820
0.0000 0.0000 0.0000
0.0000 0.0000 0.2114
0.0000 0.0000 0.4044
0.0000 0.0000 0.5956
0.0000 0.0000 0.7886
```

***

Record 18
NdSc3Zn8: optimized geometry, PBE.

## Properties
E_form (meV per atom): -310
Space-group type: No. 156

```
NdSc3Zn8
1.0
-3.7382 -3.7605 0.8432
4.9450 -0.6361 1.9922
-2.3998 4.0080 7.2361
Nd Sc Zn
1 3 8
direct
0.0000 0.0000 0.5664
0.6667 0.3333 0.4254
0.6667 0.3333 0.0557
0.0000 0.0000 0.9476
0.3333 0.6667 0.4991
0.3333 0.6667 0.0016
0.5045 0.0090 0.7575
0.5045 0.4955 0.7575
0.9910 0.4955 0.7575
0.1636 0.3271 0.2438
0.1636 0.8364 0.2438
0.6729 0.8364 0.2438
```

***

Record 19
Nd4ScZn5: optimized geometry, PBE.

## Properties
E_form (meV per atom): -302
Space-group type: No. 123

```
Nd4ScZn5
1.0
-1.9965 2.9201 0.6919
-0.5369 -1.1652 3.3684
14.9553 8.9281 5.4722
Nd Sc Zn
4 1 5
direct
0.0000 0.0000 0.1893
0.0000 0.0000 0.3961
0.0000 0.0000 0.6039
0.0000 0.0000 0.8107
0.0000 0.0000 0.0000
0.5000 0.5000 0.0800
0.5000 0.5000 0.2939
0.5000 0.5000 0.5000
0.5000 0.5000 0.7061
0.5000 0.5000 0.9200
```

***

Record 20
NdSc3Zn2: optimized geometry, PBE.

## Properties
E_form (meV per atom): -226
Space-group type: No. 123

```
NdSc3Zn2
1.0
-2.9899 0.7324 -1.3994
1.2208 -0.8293 -3.0424
-3.4752 -11.0800 1.6260
Nd Sc Zn
1 3 2
direct
0.5000 0.5000 0.5000
0.0000 0.0000 0.0000
0.0000 0.0000 0.7185
0.0000 0.0000 0.2815
0.5000 0.5000 0.8593
0.5000 0.5000 0.1407
```

***

Record 21
Nd2ScZn: optimized geometry, PBE.

## Properties
E_form (meV per atom): -13
Space-group type: No. 225
Energy above the lowest structure with this stoichiometry (eV per atom): 0.096

```
Nd2ScZn
1.0
5.3435 0.0000 0.0000
2.6717 4.6276 0.0000
2.6717 1.5425 4.3629
Sc Zn Nd
1 1 2
direct
0.0000 0.0000 0.0000
0.5000 0.5000 0.5000
0.2500 0.2500 0.2500
0.7500 0.7500 0.7500
```